Computed, not measured: a geometry-optimized TiVH4 structure at the PBE-GGA level of DFT.

Calculated values
- total energy (eV/atom) = -5.430
- energy relative to the lowest polymorph listed for this composition (meV/atom) = 7.0

abc: 5.242 5.242 5.242
angles: 33.86 33.86 33.86
Fractional positions:
Ti: 0.000 0.000 0.000
V: 0.500 0.500 0.500
H: 0.129 0.129 0.129
H: 0.378 0.378 0.378
H: 0.622 0.622 0.622
H: 0.871 0.871 0.871

---

Computed, not measured: a geometry-optimized MgP2I structure at the PBE-GGA level of DFT.

Calculated values
- total energy (eV/atom) = -2.776
- energy relative to the lowest polymorph listed for this composition (meV/atom) = 202.2

abc: 4.895 4.895 4.895
angles: 60.00 60.00 60.00
Fractional positions:
Mg: 0.000 0.000 0.000
P: 0.250 0.250 0.250
P: 0.750 0.750 0.750
I: 0.500 0.500 0.500